# LiTlPb meta-GGA SCAN PBEsol geometry
data_LiTlPb
_cell_length_a 5.0794
_cell_length_b 5.0794
_cell_length_c 3.3807
_cell_angle_alpha 90.00
_cell_angle_beta 90.00
_cell_angle_gamma 120.00
_space_group_name_H-M_alt 'P 3 m 1'
_space_group_IT_number 156
loop_
_space_group_symop_operation_xyz
'x,y,z'
'-y,x-y,z'
'-x+y,-x,z'
'-y,-x,z'
'-x+y,y,z'
'x,x-y,z'
loop_
_atom_site_label
_atom_site_fract_x
_atom_site_fract_y
_atom_site_fract_z
_atom_site_occupancy
Li1 0.0000 0.0000 0.0000 1
Tl1 0.6667 0.3333 0.8784 1
Pb1 0.3333 0.6667 0.4267 1
# energy of formation: -0.179 eV per atom
# total magnetization: 0.00 μB per cell